Here is Li2MnP2O7 after structural relaxation from Alexandria. Energies are from PBE+U.

abc: 7.364 8.619 9.741
angles: 90.00 109.39 90.00
Space group P2_1 (No. 4)
Unique sites:
Li 0.086 0.000 0.356 (multiplicity 2)
Li 0.260 0.667 0.890 (multiplicity 2)
Li 0.353 0.692 0.373 (multiplicity 2)
Li 0.372 0.964 0.862 (multiplicity 2)
Mn 0.000 0.063 0.755 (multiplicity 2)
Mn 0.487 0.059 0.250 (multiplicity 2)
P 0.088 0.767 0.571 (multiplicity 2)
P 0.099 0.857 0.068 (multiplicity 2)
P 0.325 0.311 0.964 (multiplicity 2)
P 0.336 0.324 0.460 (multiplicity 2)
O 0.106 0.766 0.417 (multiplicity 2)
O 0.135 0.362 0.000 (multiplicity 2)
O 0.138 0.231 0.450 (multiplicity 2)
O 0.146 0.926 0.641 (multiplicity 2)
O 0.156 0.875 0.931 (multiplicity 2)
O 0.160 0.698 0.140 (multiplicity 2)
O 0.165 0.992 0.176 (multiplicity 2)
O 0.181 0.629 0.669 (multiplicity 2)
O 0.272 0.182 0.852 (multiplicity 2)
O 0.276 0.467 0.363 (multiplicity 2)
O 0.400 0.463 0.919 (multiplicity 2)
O 0.446 0.358 0.621 (multiplicity 2)
O 0.450 0.201 0.413 (multiplicity 2)
O 0.475 0.262 0.110 (multiplicity 2)

Calculated values
For the density of states at the Fermi level, the calculation gives 0.00 states/eV/f.u. The value obtained for the relative energy among the computed polymorphs is 29 meV per atom.